First-principles (PBE) data for Pm2PrCu2Si2 after structural relaxation, as listed in Alexandria.

Summary:
As for the formation energy without anion corrections: -465 meV/atom. As for the space-group type: R-3m. As for the total energy: -5.22 eV/atom. The calculation puts the spin magnetization at 0.0 μB per cell.

Geometry as POSCAR:
```
Pm2PrCu2Si2
1.0
4.257 0.000 0.000
2.128 3.686 0.000
2.128 1.229 9.921
Pm Pr Cu Si
2 1 2 2
Cartesian
2.128 1.229 6.161 Pm
6.385 3.686 3.760 Pm
0.000 0.000 0.000 Pr
4.257 2.458 2.031 Cu
4.257 2.458 7.890 Cu
6.385 3.686 7.867 Si
2.128 1.229 2.055 Si
```



First-principles (PBE) data for PmPrCu2Si2 after structural relaxation, as listed in Alexandria.

Summary:
As for the formation energy without anion corrections: -618 meV/atom. As for the space-group type: P-3m1. As for the total energy: -5.38 eV/atom. The calculation puts the spin magnetization at 0.0 μB per cell.

Geometry as POSCAR:
```
PmPrCu2Si2
1.0
-3.227 0.263 -2.708
-0.735 -0.099 4.155
0.423 7.902 0.264
Pm Pr Cu Si
1 1 2 2
Cartesian
0.000 0.000 0.000 Pm
0.212 3.951 0.132 Pr
-1.245 5.996 2.067 Cu
-2.293 2.070 -0.356 Cu
-1.462 1.959 1.932 Si
-2.077 6.107 -0.221 Si
```



First-principles (PBE) data for PmPr2Cu2Sn2 after structural relaxation, as listed in Alexandria.

Summary:
As for the space-group type: R-3m. Its formation energy is -39.8 kJ per mole of atoms. As for the total energy: -4.77 eV/atom. The calculation puts the spin magnetization at 0.0 μB per cell.

Geometry as POSCAR:
```
PmPr2Cu2Sn2
1.0
-1.176 -3.521 -2.736
0.482 -4.338 1.489
-9.325 -2.390 3.197
Pm Pr Cu Sn
1 2 2 2
Cartesian
0.000 0.000 0.000 Pm
-5.850 -2.478 1.816 Pr
-4.169 -7.771 0.133 Pr
-2.282 -5.193 -0.109 Cu
-7.737 -5.055 2.058 Cu
-7.977 -7.675 1.646 Sn
-2.042 -2.574 0.304 Sn
```



First-principles (PBE) data for Pm2PrCuTe5 after structural relaxation, as listed in Alexandria.

Summary:
As for the formation energy without anion corrections: -1180 meV/atom. As for the space-group type: Cmc2_1. As for the total energy: -4.97 eV/atom. The calculation puts the spin magnetization at 0.0 μB per cell.

Geometry as POSCAR:
```
Pm2PrCuTe5
1.0
4.326 0.000 0.000
-2.163 9.723 0.000
0.000 0.000 13.044
Pm Pr Cu Te
4 2 2 10
Cartesian
2.163 7.388 10.524 Pm
0.000 2.077 8.908 Pm
0.000 2.335 4.002 Pm
2.163 7.645 2.386 Pm
2.163 5.991 6.644 Pr
0.000 3.731 0.122 Pr
2.163 1.349 12.492 Cu
0.000 8.374 5.970 Cu
0.000 6.977 13.031 Te
2.163 3.505 10.908 Te
0.000 9.719 10.241 Te
0.000 5.605 8.905 Te
2.163 8.946 7.358 Te
2.163 2.746 6.509 Te
0.000 6.218 4.386 Te
2.163 0.003 3.719 Te
2.163 4.118 2.383 Te
0.000 0.777 0.836 Te
```



First-principles (PBE) data for PmPrZnCu after structural relaxation, as listed in Alexandria.

Summary:
For the energy above the most stable polymorph in this dataset, the calculation gives 0 meV/atom. As for the space-group type: P4mm. Its formation energy is -21.7 kJ per mole of atoms. As for the total energy: -3.95 eV/atom. The calculation puts the spin magnetization at 0.0 μB per cell.

Geometry as POSCAR:
```
PmPrZnCu
1.0
3.649 0.000 0.000
0.000 3.649 0.000
0.000 0.000 7.264
Pm Pr Zn Cu
1 1 1 1
Cartesian
0.000 0.000 2.541 Pm
0.000 0.000 6.255 Pr
1.824 1.824 4.351 Zn
1.824 1.824 0.857 Cu
```



First-principles (PBE) data for PmPrZnCu after structural relaxation, as listed in Alexandria.

Summary:
For the energy above the most stable polymorph in this dataset, the calculation gives 11 meV/atom. As for the space-group type: F-43m. Its formation energy is -20.6 kJ per mole of atoms. As for the total energy: -3.94 eV/atom. The calculation puts the spin magnetization at 0.0 μB per cell.

Geometry as POSCAR:
```
PmPrZnCu
1.0
-5.004 0.412 1.183
-1.720 -1.689 4.561
-1.533 3.374 3.588
Pr Zn Cu Pm
1 1 1 1
Cartesian
-4.128 1.049 4.666 Pr
-6.192 1.573 6.999 Zn
-2.064 0.524 2.333 Cu
0.000 0.000 0.000 Pm
```



Which formula does entry 2 have? PmPrCu2Si2